This record from the Alexandria database describes Be3Re at its PBEsol-relaxed geometry. The functional is SCAN. Values from VASP.

Properties
**Formation energy**: 0.003 eV per atom
**Energy**: -84.15 eV/cell
**Fermi-level density of states**: 0.363 states/eV/atom
**Spin magnetization**: 0.13 μB/f.u.

Quantum ESPRESSO input file:
```
&SYSTEM
  ibrav = 0, nat = 4, ntyp = 2
/
ATOMIC_SPECIES
Be 9.01 Be.upf
Re 186.21 Re.upf
CELL_PARAMETERS angstrom
2.5052 0.0000 0.0000
0.0000 3.7341 0.0000
-0.8947 0.0000 4.3773
ATOMIC_POSITIONS angstrom
Be 0.0000 0.0000 0.0000
Be -0.3481 1.8670 3.2780
Be 1.9585 1.8670 1.0994
Re 0.8052 0.0000 2.1887
```

***

This record from the Alexandria database describes BeRe at its PBEsol-relaxed geometry. The functional is SCAN. Values from VASP.

Properties
**Formation energy**: -0.214 eV per atom
**E above lowest polymorph**: 0 meV/atom
**Energy**: -303.52 eV/cell
**Fermi-level density of states**: 0.418 states/eV/atom
**Spin magnetization**: 0.00 μB/f.u.

Quantum ESPRESSO input file:
```
&SYSTEM
  ibrav = 0, nat = 8, ntyp = 2
/
ATOMIC_SPECIES
Be 9.01 Be.upf
Re 186.21 Re.upf
CELL_PARAMETERS angstrom
3.0951 0.0000 0.0000
0.0000 8.6914 0.0000
0.0000 0.0000 3.1738
ATOMIC_POSITIONS angstrom
Be 0.0000 0.5952 0.7934
Be 0.0000 8.0962 2.3803
Be 1.5476 3.7505 2.3803
Be 1.5476 4.9409 0.7934
Re 0.0000 3.0472 0.7934
Re 0.0000 5.6442 2.3803
Re 1.5476 1.2985 2.3803
Re 1.5476 7.3929 0.7934
```

***

This record from the Alexandria database describes Be7Re6 at its PBEsol-relaxed geometry. The functional is SCAN. Values from VASP.

Properties
**Formation energy**: -0.318 eV per atom
**Energy**: -461.20 eV/cell
**Fermi-level density of states**: 0.297 states/eV/atom
**Spin magnetization**: 0.00 μB/f.u.

Quantum ESPRESSO input file:
```
&SYSTEM
  ibrav = 0, nat = 13, ntyp = 2
/
ATOMIC_SPECIES
Be 9.01 Be.upf
Re 186.21 Re.upf
CELL_PARAMETERS angstrom
2.2231 1.2835 8.2686
-2.2231 1.2835 8.2686
0.0000 -2.5670 8.2686
ATOMIC_POSITIONS angstrom
Be 0.0000 0.0000 0.0000
Be 0.0000 -1.2744 6.4130
Be -1.1037 0.6372 6.4130
Be -1.1037 -0.6372 18.3929
Be 1.1037 0.6372 6.4130
Be 1.1037 -0.6372 18.3929
Be 0.0000 1.2744 18.3929
Re 0.0000 0.0000 4.1476
Re 0.0000 0.0000 8.7063
Re 0.0000 0.0000 11.1623
Re 0.0000 0.0000 13.6437
Re 0.0000 0.0000 16.0996
Re 0.0000 0.0000 20.6583
```